Record 1
# BaLi2Pb (GGA-PBEsol, relaxed)
# Calculated total energy   -11.5 eV per formula unit
# Formation enthalpy at 0 K   -366 meV per atom
# Total magnetic moment   0.0 μB/f.u.
data_BaLi2Pb
_chemical_formula_sum 'Ba2 Li4 Pb2'
_cell_length_a 8.588
_cell_length_b 4.955
_cell_length_c 6.393
_cell_angle_alpha 90.00
_cell_angle_beta 116.28
_cell_angle_gamma 90.00
_space_group_name_H-M_alt 'C 1 m 1'
_space_group_IT_number 8
loop_
_space_group_symop_operation_xyz
'x,y,z'
'x,-y,z'
'x+1/2,y+1/2,z'
'x+1/2,-y+1/2,z'
loop_
_atom_site_label
_atom_site_type_symbol
_atom_site_fract_x
_atom_site_fract_y
_atom_site_fract_z
Ba1 Ba 0.000 0.000 0.000
Li1 Li 0.181 0.000 0.548
Li2 Li 0.482 0.000 0.452
Pb1 Pb 0.292 0.500 0.380


Record 2
# BaLi2Pd2 (GGA-PBEsol, relaxed)
# Calculated total energy   -19.7 eV per formula unit
# Formation enthalpy at 0 K   -341 meV per atom
# Total magnetic moment   0.0 μB/f.u.
data_BaLi2Pd2
_chemical_formula_sum 'Ba2 Li4 Pd4'
_cell_length_a 4.306
_cell_length_b 4.306
_cell_length_c 11.219
_cell_angle_alpha 90.00
_cell_angle_beta 90.00
_cell_angle_gamma 90.00
_space_group_name_H-M_alt 'I 4/m m m'
_space_group_IT_number 139
_space_group_name_Hall '-I 4 2'
loop_
_atom_site_label
_atom_site_type_symbol
_atom_site_fract_x
_atom_site_fract_y
_atom_site_fract_z
Ba1 Ba 0.000 0.000 0.000
Li1 Li 0.000 0.500 0.250
Pd1 Pd 0.000 0.000 0.383


Record 3
# Ba2LiPd2 (GGA-PBEsol, relaxed)
# Calculated total energy   -19.7 eV per formula unit
# Formation enthalpy at 0 K   -304 meV per atom
# Total magnetic moment   0.0 μB/f.u.
data_Ba2LiPd2
_chemical_formula_sum 'Ba4 Li2 Pd4'
_cell_length_a 8.011
_cell_length_b 8.011
_cell_length_c 4.421
_cell_angle_alpha 90.00
_cell_angle_beta 90.00
_cell_angle_gamma 90.00
_space_group_name_H-M_alt 'P 4/m b m'
_space_group_IT_number 127
_space_group_name_Hall '-P 4 2ab'
loop_
_atom_site_label
_atom_site_type_symbol
_atom_site_fract_x
_atom_site_fract_y
_atom_site_fract_z
Ba1 Ba 0.174 0.326 0.000
Li1 Li 0.000 0.000 0.500
Pd1 Pd 0.121 0.621 0.500


Repeat the third record exactly.
# Ba2LiPd2 (GGA-PBEsol, relaxed)
# Calculated total energy   -19.7 eV per formula unit
# Formation enthalpy at 0 K   -304 meV per atom
# Total magnetic moment   0.0 μB/f.u.
data_Ba2LiPd2
_chemical_formula_sum 'Ba4 Li2 Pd4'
_cell_length_a 8.011
_cell_length_b 8.011
_cell_length_c 4.421
_cell_angle_alpha 90.00
_cell_angle_beta 90.00
_cell_angle_gamma 90.00
_space_group_name_H-M_alt 'P 4/m b m'
_space_group_IT_number 127
_space_group_name_Hall '-P 4 2ab'
loop_
_atom_site_label
_atom_site_type_symbol
_atom_site_fract_x
_atom_site_fract_y
_atom_site_fract_z
Ba1 Ba 0.174 0.326 0.000
Li1 Li 0.000 0.000 0.500
Pd1 Pd 0.121 0.621 0.500


Q: Number 2 is which compound?
A: BaLi2Pd2